Record 1
# Nd8SmDy2

Nd8SmDy2 after structural relaxation (PBE, Alexandria).

a = 6.7438 Å, b = 10.4535 Å, c = 10.4535 Å
α = 38.08°, β = 59.76°, γ = 59.76°
Sites, in units of the cell vectors:
Nd 0.2324 0.3495 0.8260
Nd 0.7676 0.1740 0.6505
Nd 0.1704 0.7553 0.7553
Nd 0.8296 0.2447 0.2447
Nd 0.2324 0.8260 0.3495
Nd 0.7676 0.6505 0.1740
Nd 0.7265 0.5936 0.5936
Nd 0.2735 0.4064 0.4064
Sm 0.0000 0.0000 0.0000
Dy 0.5907 0.8009 0.8009
Dy 0.4093 0.1991 0.1991

Properties
DOS(E_F) = 18.20 states/eV/f.u.
Total moment = 0.0 μB/f.u.
Relative energy among the computed polymorphs = 0 meV/atom
Total energy = -4.57 eV per atom
DFT formation energy = 0.1633 eV/atom

Record 2
# Nd5Sm2Dy

Nd5Sm2Dy after structural relaxation (PBE, Alexandria).

a = 5.1585 Å, b = 7.3003 Å, c = 14.6134 Å
α = 90.00°, β = 90.00°, γ = 90.00°
Sites, in units of the cell vectors:
Nd 0.0000 0.0000 0.0000
Nd 0.0000 0.5000 0.5000
Nd 0.0000 0.4998 0.7513
Nd 0.0000 0.5002 0.2487
Nd 0.0000 0.0002 0.2513
Nd 0.0000 0.9998 0.7487
Nd 0.5000 0.2506 0.8759
Nd 0.5000 0.7494 0.1241
Nd 0.5000 0.2494 0.3759
Nd 0.5000 0.7506 0.6241
Sm 0.5000 0.2495 0.6240
Sm 0.5000 0.7505 0.3760
Sm 0.5000 0.2505 0.1240
Sm 0.5000 0.7495 0.8760
Dy 0.0000 0.0000 0.5000
Dy 0.0000 0.5000 0.0000

Properties
DOS(E_F) = 12.46 states/eV/f.u.
Total moment = 0.0 μB/f.u.
Relative energy among the computed polymorphs = 0 meV/atom
Total energy = -4.72 eV per atom
DFT formation energy = 0.0148 eV/atom

Record 3
# NdSm3Dy6

NdSm3Dy6 after structural relaxation (PBE, Alexandria).

a = 6.2692 Å, b = 11.0049 Å, c = 11.0049 Å
α = 119.59°, β = 90.00°, γ = 90.00°
Sites, in units of the cell vectors:
Nd 0.1363 0.2018 0.7982
Nd 0.6363 0.7982 0.2018
Sm 0.4612 0.9376 0.7152
Sm 0.9612 0.7152 0.9376
Sm 0.0694 0.3896 0.6104
Sm 0.5694 0.6104 0.3896
Sm 0.9612 0.0624 0.2848
Sm 0.4612 0.2848 0.0624
Dy 0.0388 0.7116 0.6189
Dy 0.5388 0.6189 0.7116
Dy 0.3703 0.5354 0.9562
Dy 0.8703 0.9562 0.5354
Dy 0.3975 0.9569 0.0431
Dy 0.6415 0.2791 0.7209
Dy 0.1415 0.7209 0.2791
Dy 0.8975 0.0431 0.9569
Dy 0.3703 0.0438 0.4646
Dy 0.8703 0.4646 0.0438
Dy 0.0388 0.3811 0.2884
Dy 0.5388 0.2884 0.3811

Properties
DOS(E_F) = 14.68 states/eV/f.u.
Total moment = 0.0 μB/f.u.
Relative energy among the computed polymorphs = 0 meV/atom
Total energy = -4.51 eV per atom
DFT formation energy = 0.1487 eV/atom

Record 4
# NdSmDy14

NdSmDy14 after structural relaxation (PBE, Alexandria).

a = 7.1374 Å, b = 7.1374 Å, c = 11.4939 Å
α = 90.00°, β = 90.00°, γ = 119.93°
Sites, in units of the cell vectors:
Nd 0.7078 0.2922 0.5000
Sm 0.2080 0.7920 0.5000
Dy 0.0419 0.9581 0.0000
Dy 0.5419 0.4581 0.0000
Dy 0.2081 0.2919 0.5000
Dy 0.0423 0.4579 0.0000
Dy 0.7081 0.7919 0.5000
Dy 0.5421 0.9577 0.0000
Dy 0.3747 0.1250 0.7526
Dy 0.3747 0.1250 0.2474
Dy 0.8750 0.6253 0.7526
Dy 0.8750 0.6253 0.2474
Dy 0.3752 0.6248 0.7511
Dy 0.3752 0.6248 0.2489
Dy 0.8752 0.1248 0.7516
Dy 0.8752 0.1248 0.2484

Properties
DOS(E_F) = 18.37 states/eV/f.u.
Total moment = 0.0 μB/f.u.
Total energy = -4.62 eV per atom
DFT formation energy = 0.0045 eV/atom

Record 5
# NdSmDy

NdSmDy after structural relaxation (PBE, Alexandria).

a = 3.6216 Å, b = 5.1082 Å, c = 6.2654 Å
α = 114.06°, β = 106.80°, γ = 90.00°
Sites, in units of the cell vectors:
Nd 0.3331 0.3331 0.6661
Sm 0.0007 0.0007 0.0014
Dy 0.6662 0.6662 0.3324

Properties
DOS(E_F) = 3.81 states/eV/f.u.
Total moment = 0.0 μB/f.u.
Relative energy among the computed polymorphs = 0 meV/atom
Total energy = -4.68 eV per atom
DFT formation energy = 0.0147 eV/atom

Record 6
# Nd6Sm4Dy

Nd6Sm4Dy after structural relaxation (PBE, Alexandria).

a = 6.7677 Å, b = 6.7677 Å, c = 9.7871 Å
α = 110.23°, β = 110.23°, γ = 90.00°
Sites, in units of the cell vectors:
Nd 0.8664 0.4869 0.3533
Nd 0.4869 0.8664 0.3533
Nd 0.5131 0.5131 0.6467
Nd 0.0000 0.5000 0.0000
Nd 0.1336 0.1336 0.6467
Nd 0.5000 0.0000 0.0000
Sm 0.0532 0.6999 0.7531
Sm 0.9468 0.9468 0.2469
Sm 0.6999 0.0532 0.7531
Sm 0.3001 0.3001 0.2469
Dy 0.5000 0.5000 0.0000

Properties
DOS(E_F) = 17.03 states/eV/f.u.
Total moment = 0.0 μB/f.u.
Relative energy among the computed polymorphs = 0 meV/atom
Total energy = -4.45 eV per atom
DFT formation energy = 0.2843 eV/atom

Record 7
# Nd5Sm2Dy12

Nd5Sm2Dy12 after structural relaxation (PBE, Alexandria).

a = 6.2092 Å, b = 11.3313 Å, c = 15.6470 Å
α = 142.90°, β = 109.47°, γ = 79.41°
Sites, in units of the cell vectors:
Nd 0.4214 0.6312 0.6579
Nd 0.1585 0.7370 0.1841
Nd 0.0000 0.0000 0.5000
Nd 0.8415 0.2630 0.8159
Nd 0.5786 0.3688 0.3421
Sm 0.7371 0.1059 0.0264
Sm 0.2629 0.8941 0.9736
Dy 0.1049 0.1575 0.2898
Dy 0.3162 0.4741 0.8683
Dy 0.7898 0.6836 0.9209
Dy 0.0519 0.5794 0.3944
Dy 0.5269 0.7891 0.4476
Dy 0.3687 0.0529 0.7638
Dy 0.6313 0.9471 0.2362
Dy 0.9481 0.4206 0.6056
Dy 0.4731 0.2109 0.5524
Dy 0.6838 0.5259 0.1317
Dy 0.2102 0.3164 0.0791
Dy 0.8951 0.8425 0.7102

Properties
DOS(E_F) = 26.16 states/eV/f.u.
Total moment = 0.0 μB/f.u.
Relative energy among the computed polymorphs = 0 meV/atom
Total energy = -4.64 eV per atom
DFT formation energy = 0.0169 eV/atom

Record 8
# Nd2SmDy6

Nd2SmDy6 after structural relaxation (PBE, Alexandria).

a = 7.4499 Å, b = 7.4499 Å, c = 7.6590 Å
α = 60.90°, β = 60.90°, γ = 60.00°
Sites, in units of the cell vectors:
Nd 0.7544 0.7544 0.7369
Nd 0.5794 0.5794 0.2618
Sm 0.3152 0.3152 0.0543
Dy 0.7846 0.2590 0.6972
Dy 0.2593 0.7846 0.6972
Dy 0.2590 0.2593 0.6972
Dy 0.0480 0.6174 0.2861
Dy 0.0484 0.0480 0.2861
Dy 0.6174 0.0484 0.2861

Properties
DOS(E_F) = 13.39 states/eV/f.u.
Total moment = 0.0 μB/f.u.
Relative energy among the computed polymorphs = 321 meV/atom
Total energy = -4.31 eV per atom
DFT formation energy = 0.3406 eV/atom

Record 9
# Nd4Sm2Dy5

Nd4Sm2Dy5 after structural relaxation (PBE, Alexandria).

a = 5.7132 Å, b = 6.6703 Å, c = 10.0750 Å
α = 90.94°, β = 106.47°, γ = 90.00°
Sites, in units of the cell vectors:
Nd 0.3047 0.9228 0.6094
Nd 0.9792 0.7153 0.9584
Nd 0.6953 0.0772 0.3906
Nd 0.0208 0.2847 0.0416
Sm 0.4021 0.4471 0.8042
Sm 0.5979 0.5529 0.1958
Dy 0.7908 0.5993 0.5816
Dy 0.2092 0.4007 0.4184
Dy 0.8692 0.1073 0.7385
Dy 0.5000 0.0000 0.0000
Dy 0.1308 0.8927 0.2615

Properties
DOS(E_F) = 16.48 states/eV/f.u.
Total moment = 0.0 μB/f.u.
Relative energy among the computed polymorphs = 0 meV/atom
Total energy = -4.58 eV per atom
DFT formation energy = 0.1045 eV/atom

Record 10
# NdSm12Dy6

NdSm12Dy6 after structural relaxation (PBE, Alexandria).

a = 8.6295 Å, b = 8.6295 Å, c = 8.6295 Å
α = 88.86°, β = 88.86°, γ = 88.86°
Sites, in units of the cell vectors:
Nd 0.0000 0.0000 0.0000
Sm 0.7784 0.5382 0.4337
Sm 0.4337 0.7784 0.5382
Sm 0.5382 0.4337 0.7784
Sm 0.2216 0.4618 0.5663
Sm 0.5663 0.2216 0.4618
Sm 0.4618 0.5663 0.2216
Sm 0.0154 0.1994 0.3604
Sm 0.8006 0.6396 0.9846
Sm 0.6396 0.9846 0.8006
Sm 0.9846 0.8006 0.6396
Sm 0.1994 0.3604 0.0154
Sm 0.3604 0.0154 0.1994
Dy 0.7408 0.9026 0.3033
Dy 0.6967 0.2592 0.0974
Dy 0.0974 0.6967 0.2592
Dy 0.2592 0.0974 0.6967
Dy 0.3033 0.7408 0.9026
Dy 0.9026 0.3033 0.7408

Properties
DOS(E_F) = 31.88 states/eV/f.u.
Total moment = 0.0 μB/f.u.
Relative energy among the computed polymorphs = 0 meV/atom
Total energy = -4.54 eV per atom
DFT formation energy = 0.1410 eV/atom

Record 11
# Nd8Sm6Dy

Nd8Sm6Dy after structural relaxation (PBE, Alexandria).

a = 9.9298 Å, b = 9.9298 Å, c = 8.3429 Å
α = 53.48°, β = 53.48°, γ = 60.00°
Sites, in units of the cell vectors:
Nd 0.3552 0.2263 0.4901
Nd 0.7737 0.0716 0.5099
Nd 0.0716 0.6448 0.5099
Nd 0.5853 0.5853 0.2442
Nd 0.4147 0.4147 0.7558
Nd 0.9284 0.3552 0.4901
Nd 0.2263 0.9284 0.4901
Nd 0.6448 0.7737 0.5099
Sm 0.3922 0.9189 0.9714
Sm 0.0811 0.2824 0.0286
Sm 0.2824 0.6078 0.0286
Sm 0.7176 0.3922 0.9714
Sm 0.9189 0.7176 0.9714
Sm 0.6078 0.0811 0.0286
Dy 0.0000 0.0000 0.0000

Properties
DOS(E_F) = 22.50 states/eV/f.u.
Total moment = 0.0 μB/f.u.
Relative energy among the computed polymorphs = 0 meV/atom
Total energy = -4.58 eV per atom
DFT formation energy = 0.1569 eV/atom

Record 12
# NdSm7Dy3

NdSm7Dy3 after structural relaxation (PBE, Alexandria).

a = 8.6727 Å, b = 7.1722 Å, c = 7.1722 Å
α = 120.00°, β = 90.00°, γ = 90.00°
Sites, in units of the cell vectors:
Nd 0.4432 0.3333 0.6667
Sm 0.1117 0.1674 0.8326
Sm 0.1117 0.1674 0.3349
Sm 0.1225 0.6667 0.3333
Sm 0.4544 0.8324 0.1676
Sm 0.4544 0.3351 0.1676
Sm 0.4544 0.8324 0.6649
Sm 0.1117 0.6651 0.8326
Dy 0.7837 0.5003 0.4997
Dy 0.7837 0.5003 0.0005
Dy 0.7837 0.9995 0.4997

Properties
DOS(E_F) = 17.62 states/eV/f.u.
Total moment = 0.0 μB/f.u.
Relative energy among the computed polymorphs = 58 meV/atom
Total energy = -4.50 eV per atom
DFT formation energy = 0.1881 eV/atom